A | A geometry-optimized HfZr2CdH structure, computed with PBE.

Cell: 4.473 4.473 4.451 Å, 90.00 90.00 90.00°
Element x y z (fractional)
1 H 0.000 0.000 0.000
2 Cd 0.500 0.500 0.500
3 Zr 0.500 0.000 0.000
4 Zr 0.000 0.500 0.000
5 Hf 0.000 0.000 0.500



B | A geometry-optimized HfZr2CdH structure, computed with PBE.

Cell: 4.411 4.411 4.610 Å, 90.00 90.00 90.00°
Element x y z (fractional)
1 Zr 0.500 0.000 0.000
2 Cd 0.000 0.000 0.500
3 Hf 0.500 0.500 0.500
4 H 0.000 0.000 0.000
5 Zr 0.000 0.500 0.000



Winner for stability: A



A | A geometry-optimized Cd3HgH structure, computed with PBE.

Cell: 5.478 6.677 6.375 Å, 89.86 115.45 90.00°
Element x y z (fractional)
1 H 0.500 0.192 0.000
2 Hg 0.126 0.001 0.252
3 Cd 0.658 0.737 0.315
4 Cd 0.658 0.264 0.315
5 Cd 0.123 0.501 0.246
6 Cd 0.342 0.736 0.685
7 Cd 0.877 0.499 0.754
8 Hg 0.874 0.999 0.748
9 H 0.500 0.808 0.000
10 Cd 0.342 0.263 0.685



B | A geometry-optimized Cd3HgH structure, computed with PBE.

Cell: 4.606 4.606 4.606 Å, 90.00 90.00 90.00°
Element x y z (fractional)
1 Cd 0.000 0.500 0.000
2 H 0.000 0.000 0.000
3 Cd 0.000 0.000 0.500
4 Cd 0.500 0.000 0.000
5 Hg 0.500 0.500 0.500



Winner for stability: A



A | A geometry-optimized Cd2HgH2 structure, computed with PBE.

Cell: 4.112 4.112 5.641 Å, 68.62 68.62 90.00°
Element x y z (fractional)
1 Cd 0.652 0.652 0.695
2 Hg 0.000 0.000 0.000
3 H 0.750 0.250 0.500
4 H 0.250 0.750 0.500
5 Cd 0.348 0.348 0.305



B | A geometry-optimized Cd2HgH2 structure, computed with PBE.

Cell: 5.063 5.106 6.713 Å, 109.66 90.00 119.73°
Element x y z (fractional)
1 H 0.984 0.969 0.439
2 H 0.016 0.031 0.561
3 Cd 0.666 0.332 0.999
4 Cd 0.334 0.668 0.001
5 Hg 0.000 0.000 0.000



Winner for stability: B



A | A geometry-optimized CdHg3H structure, computed with PBE.

Cell: 4.778 4.778 4.778 Å, 90.00 90.00 90.00°
Element x y z (fractional)
1 Cd 0.500 0.500 0.500
2 Hg 0.500 0.000 0.000
3 H 0.000 0.000 0.000
4 Hg 0.000 0.500 0.000
5 Hg 0.000 0.000 0.500



B | A geometry-optimized CdHg3H structure, computed with PBE.

Cell: 5.989 8.240 11.111 Å, 68.00 90.00 90.00°
Element x y z (fractional)
1 Cd 0.750 0.024 0.974
2 Hg 0.002 0.788 0.594
3 Hg 0.750 0.424 0.810
4 Cd 0.750 0.476 0.526
5 Cd 0.250 0.976 0.026
6 H 0.750 0.717 0.285
7 Hg 0.502 0.212 0.406
8 Hg 0.250 0.924 0.310
9 Hg 0.498 0.712 0.906
10 Hg 0.498 0.788 0.594
11 Hg 0.750 0.076 0.690
12 H 0.750 0.783 0.215
13 Cd 0.250 0.524 0.474
14 H 0.250 0.283 0.715
15 H 0.250 0.217 0.785
16 Hg 0.250 0.576 0.190
17 Hg 0.998 0.212 0.406
18 Hg 0.998 0.288 0.094
19 Hg 0.002 0.712 0.906
20 Hg 0.502 0.288 0.094



C | A geometry-optimized CdHg3H structure, computed with PBE.

Cell: 5.835 5.835 5.835 Å, 90.00 90.00 90.00°
Site moments in Bohr magnetons follow the coordinates.
Element x y z (fractional)
1 H 0.500 0.500 0.500  0.37
2 Hg 0.000 0.500 0.000  0.01
3 Cd 0.000 0.000 0.000  0.01
4 Hg 0.000 0.000 0.500  0.01
5 Hg 0.500 0.000 0.000  0.01



Winner for stability: B



A | A geometry-optimized Cd2Hg2H structure, computed with PBE.

Cell: 4.105 4.105 8.040 Å, 75.21 75.21 90.00°
Site moments in Bohr magnetons follow the coordinates.
Element x y z (fractional)
1 Hg 0.592 0.592 0.816  0.03
2 Cd 0.750 0.250 0.500  0.02
3 H 0.000 0.000 0.000  0.18
4 Hg 0.408 0.408 0.184  0.03
5 Cd 0.250 0.750 0.500  0.02



B | A geometry-optimized Cd2Hg2H structure, computed with PBE.

Cell: 6.058 6.058 5.675 Å, 90.00 90.00 90.00°
Element x y z (fractional)
1 Cd 0.827 0.673 0.000
2 H 0.000 0.000 0.000
3 Hg 0.182 0.682 0.500
4 Hg 0.818 0.318 0.500
5 Cd 0.673 0.173 0.000
6 Hg 0.318 0.182 0.500
7 Hg 0.682 0.818 0.500
8 Cd 0.173 0.327 0.000
9 H 0.500 0.500 0.000
10 Cd 0.327 0.827 0.000



Winner for stability: B



A | A geometry-optimized CdIn2HgH structure, computed with PBE.

Cell: 4.701 4.701 4.977 Å, 90.00 90.00 90.00°
Element x y z (fractional)
1 In 0.500 0.000 0.000
2 In 0.000 0.500 0.000
3 Cd 0.500 0.500 0.500
4 Hg 0.000 0.000 0.500
5 H 0.000 0.000 0.000



B | A geometry-optimized CdIn2HgH structure, computed with PBE.

Cell: 5.060 5.060 4.240 Å, 90.00 90.00 90.00°
Element x y z (fractional)
1 H 0.000 0.000 0.000
2 In 0.500 0.000 0.000
3 Cd 0.000 0.000 0.500
4 Hg 0.500 0.500 0.500
5 In 0.000 0.500 0.000



Winner for stability: B



A | A geometry-optimized CdInHg2H structure, computed with PBE.

Cell: 5.805 5.805 3.774 Å, 90.00 90.00 90.00°
Element x y z (fractional)
1 Hg 0.500 0.000 0.000
2 In 0.000 0.000 0.000
3 H 0.000 0.000 0.500
4 Cd 0.500 0.500 0.500
5 Hg 0.000 0.500 0.000



B | A geometry-optimized CdInHg2H structure, computed with PBE.

Cell: 5.471 5.471 3.773 Å, 90.00 90.00 90.00°
Element x y z (fractional)
1 Cd 0.000 0.000 0.500
2 H 0.000 0.000 0.000
3 Hg 0.000 0.500 0.000
4 Hg 0.500 0.000 0.000
5 In 0.500 0.500 0.500



Winner for stability: B



A | A geometry-optimized K2CdHgH structure, computed with PBE.

Cell: 5.292 5.292 5.072 Å, 90.00 90.00 90.00°
Element x y z (fractional)
1 H 0.000 0.000 0.000
2 K 0.500 0.000 0.000
3 Hg 0.500 0.500 0.500
4 K 0.000 0.500 0.000
5 Cd 0.000 0.000 0.500



B | A geometry-optimized K2CdHgH structure, computed with PBE.

Cell: 5.202 5.202 5.523 Å, 90.00 90.00 90.00°
Element x y z (fractional)
1 Cd 0.500 0.500 0.500
2 K 0.000 0.500 0.000
3 H 0.000 0.000 0.000
4 Hg 0.000 0.000 0.500
5 K 0.500 0.000 0.000



Winner for stability: A



A | A geometry-optimized CdHgHPb2 structure, computed with PBE.

Cell: 4.785 4.785 5.144 Å, 90.00 90.00 90.00°
Element x y z (fractional)
1 H 0.000 0.000 0.000
2 Hg 0.000 0.000 0.500
3 Pb 0.500 0.000 0.000
4 Pb 0.000 0.500 0.000
5 Cd 0.500 0.500 0.500



B | A geometry-optimized CdHgHPb2 structure, computed with PBE.

Cell: 5.350 5.350 4.091 Å, 90.00 90.00 90.00°
Element x y z (fractional)
1 Pb 0.000 0.500 0.000
2 Hg 0.500 0.500 0.500
3 H 0.000 0.000 0.000
4 Pb 0.500 0.000 0.000
5 Cd 0.000 0.000 0.500



Winner for stability: B



A | A geometry-optimized CdHgHPd2 structure, computed with PBE.

Cell: 4.141 4.141 4.320 Å, 90.00 90.00 90.00°
Element x y z (fractional)
1 Cd 0.500 0.500 0.500
2 Pd 0.500 0.000 0.000
3 Hg 0.000 0.000 0.500
4 Pd 0.000 0.500 0.000
5 H 0.000 0.000 0.000



B | A geometry-optimized CdHgHPd2 structure, computed with PBE.

Cell: 4.126 4.126 4.335 Å, 90.00 90.00 90.00°
Element x y z (fractional)
1 Pd 0.000 0.500 0.000
2 Cd 0.000 0.000 0.500
3 Pd 0.500 0.000 0.000
4 Hg 0.500 0.500 0.500
5 H 0.000 0.000 0.000



Winner for stability: B



A | A geometry-optimized CdHgHPt2 structure, computed with PBE.

Cell: 4.104 4.104 4.420 Å, 90.00 90.00 90.00°
Element x y z (fractional)
1 Pt 0.500 0.000 0.000
2 Cd 0.000 0.000 0.500
3 H 0.000 0.000 0.000
4 Pt 0.000 0.500 0.000
5 Hg 0.500 0.500 0.500



B | A geometry-optimized CdHgHPt2 structure, computed with PBE.

Cell: 4.117 4.117 4.410 Å, 90.00 90.00 90.00°
Element x y z (fractional)
1 Pt 0.000 0.500 0.000
2 Cd 0.500 0.500 0.500
3 Hg 0.000 0.000 0.500
4 Pt 0.500 0.000 0.000
5 H 0.000 0.000 0.000



Winner for stability: A



A | A geometry-optimized CdHgHRh2 structure, computed with PBE.

Cell: 4.103 4.103 4.195 Å, 90.00 90.00 90.00°
Element x y z (fractional)
1 Rh 0.000 0.500 0.000
2 Rh 0.500 0.000 0.000
3 Hg 0.500 0.500 0.500
4 H 0.000 0.000 0.000
5 Cd 0.000 0.000 0.500



B | A geometry-optimized CdHgHRh2 structure, computed with PBE.

Cell: 4.125 4.125 4.165 Å, 90.00 90.00 90.00°
Element x y z (fractional)
1 Hg 0.000 0.000 0.500
2 Rh 0.500 0.000 0.000
3 Rh 0.000 0.500 0.000
4 Cd 0.500 0.500 0.500
5 H 0.000 0.000 0.000



Winner for stability: A